[1]
First-principles (PBE-GGA) data for crystalline Ba2Pu2O7 at its relaxed geometry, as listed in the Alexandria database.

The total energy is -9.028 eV per atom. The symmetry is Imma. Its raw formation energy is -2917.8 meV/atom.

a = 8.1355 Å, b = 8.0977 Å, c = 8.0977 Å
α = 61.12°, β = 59.85°, γ = 59.85°
Last column: magnetic moment on the atom in μB.
Element x y z (fractional)
O 0.0922 0.6210 0.1946  -0.09
O 0.2500 0.9072 0.5928  -0.13
O 0.9078 0.3790 0.8054  -0.09
O 0.0840 0.6861 0.5517  -0.12
O 0.4160 0.9483 0.8139  -0.12
O 0.7500 0.0928 0.4072  -0.13
O 0.5840 0.0517 0.1861  -0.12
O 0.3217 0.3139 0.4483  -0.12
O 0.9160 0.3139 0.4483  -0.12
O 0.5922 0.6946 0.1210  -0.09
O 0.8217 0.9483 0.8139  -0.12
O 0.1783 0.0517 0.1861  -0.12
O 0.6783 0.6861 0.5517  -0.12
O 0.4078 0.3054 0.8790  -0.09
Ba 0.0000 0.5000 0.0000  0.00
Ba 0.5000 0.5000 0.5000  0.00
Ba 0.0000 0.0000 0.0000  0.00
Ba 0.5000 0.5000 0.0000  0.00
Pu 0.0000 0.0000 0.5000  3.51
Pu 0.5000 0.0000 0.0000  3.29
Pu 0.5000 0.0000 0.5000  3.51
Pu 0.0000 0.5000 0.5000  3.29

---

[2]
First-principles (PBE-GGA) data for crystalline VCoSe6 at its relaxed geometry, as listed in the Alexandria database.

The total energy is -4.864 eV per atom. The symmetry is P-1. Its raw formation energy is -222.7 meV/atom.

a = 6.0044 Å, b = 6.1386 Å, c = 6.7156 Å
α = 56.16°, β = 56.52°, γ = 57.93°
Element x y z (fractional)
Se 0.9551 0.5498 0.2691
Se 0.0449 0.4502 0.7309
Se 0.7021 0.0790 0.8172
Se 0.5861 0.1941 0.3088
Se 0.4139 0.8059 0.6912
Se 0.2979 0.9210 0.1828
Co 0.0000 0.0000 0.0000
V 0.5000 0.5000 0.5000

---

Q: Which of these has the lowest raw formation energy?
A: Ba2Pu2O7

---

Q: raw formation energy of number 1 (Ba2Pu2O7)?
A: -2917.8 meV/atom

---

Q: Which value of raw formation energy does entry 2 give?
A: -222.7 meV/atom

---

Q: Which of these has the lowest raw formation energy?
A: Ba2Pu2O7